Arrangement A

Here is a geometry-optimized Pr6InHg2 structure from the Alexandria database. Energies are from PBE.

## Properties
Fermi-level density of states = 12.28 states/eV/f.u.
space-group type = Fmmm
V = 31.785 Å³ per atom

Lattice parameters (Å, degrees): 10.417 8.524 7.096 83.11 54.33 42.56
Fractional coordinates of all 9 atoms:
Pr  0.018  0.319  0.681
Pr  0.319  0.018  0.982
Pr  0.344  0.656  0.344
Pr  0.656  0.344  0.656
Pr  0.681  0.982  0.018
Pr  0.982  0.681  0.319
In  0.000  0.000  0.000
Hg  0.338  0.338  0.662
Hg  0.662  0.662  0.338

Arrangement B

Here is a geometry-optimized Pr6InHg2 structure from the Alexandria database. Energies are from PBE.

## Properties
Fermi-level density of states = 12.28 states/eV/f.u.
space-group type = Immm
V = 32.548 Å³ per atom

Lattice parameters (Å, degrees): 9.132 9.132 9.132 110.46 109.93 108.04
Fractional coordinates of all 18 atoms:
Pr  0.050  0.824  0.225
Pr  0.250  0.551  0.301
Pr  0.250  0.949  0.699
Pr  0.271  0.319  0.590
Pr  0.271  0.681  0.952
Pr  0.401  0.176  0.225
Pr  0.599  0.824  0.775
Pr  0.729  0.319  0.048
Pr  0.729  0.681  0.410
Pr  0.750  0.051  0.301
Pr  0.750  0.449  0.699
Pr  0.950  0.176  0.775
In  0.000  0.500  0.500
In  0.500  0.000  0.500
Hg  0.000  0.146  0.146
Hg  0.000  0.854  0.854
Hg  0.364  0.364  0.000
Hg  0.636  0.636  0.000

It is arrangement B that is the least stable of them.